# ScHgCl2

ScHgCl2 after structural relaxation (PBE, Alexandria via LeMat-Bulk).

Cell lengths 3.932, 6.712, 6.712 Å; angles 43.47, 90.00, 90.00 degrees
Fractional coordinates of all 4 atoms:
Sc 0.000 0.000 0.000
Hg 0.500 0.821 0.821
Cl 0.000 0.477 0.477
Cl 0.500 0.122 0.122

Results
Its space-group type is Amm2 (38). The uncorrected formation energy comes out at -5.01 eV/f.u.



# TaSbCl2

TaSbCl2 after structural relaxation (PBE, Alexandria via LeMat-Bulk).

Cell lengths 3.331, 3.331, 12.815 Å; angles 90.00, 90.00, 126.64 degrees
Fractional coordinates of all 4 atoms:
Ta 0.000 0.000 0.000
Sb 0.000 0.000 0.500
Cl 0.500 0.500 0.154
Cl 0.500 0.500 0.846

Results
Its space-group type is Cmmm (65). The uncorrected formation energy comes out at -1.18 eV/f.u.



# CeCo5P3

CeCo5P3 after structural relaxation (PBE, Alexandria via LeMat-Bulk).

Cell lengths 11.721, 3.687, 10.379 Å; angles 90.00, 90.00, 90.00 degrees
Fractional coordinates of all 36 atoms:
Ce 0.202 0.250 0.084
Ce 0.298 0.750 0.584
Ce 0.702 0.250 0.416
Ce 0.798 0.750 0.916
Co 0.008 0.750 0.715
Co 0.015 0.750 0.093
Co 0.069 0.750 0.471
Co 0.176 0.250 0.781
Co 0.198 0.250 0.384
Co 0.302 0.750 0.884
Co 0.324 0.750 0.281
Co 0.431 0.250 0.971
Co 0.485 0.250 0.593
Co 0.492 0.250 0.215
Co 0.508 0.750 0.785
Co 0.515 0.750 0.407
Co 0.569 0.750 0.029
Co 0.676 0.250 0.719
Co 0.698 0.250 0.116
Co 0.802 0.750 0.616
Co 0.824 0.750 0.219
Co 0.931 0.250 0.529
Co 0.985 0.250 0.907
Co 0.992 0.250 0.285
P 0.108 0.750 0.894
P 0.110 0.250 0.584
P 0.130 0.750 0.277
P 0.370 0.250 0.777
P 0.390 0.750 0.084
P 0.392 0.250 0.394
P 0.608 0.750 0.606
P 0.610 0.250 0.916
P 0.630 0.750 0.223
P 0.870 0.250 0.723
P 0.890 0.750 0.416
P 0.892 0.250 0.106

Results
For the calculated formation energy, the calculation gives -79 kJ per mole of atoms. Its space-group type is Pnma (62).



# Cd2FeHg

Cd2FeHg after structural relaxation (PBE, Alexandria via LeMat-Bulk).

Cell lengths 6.614, 6.614, 6.614 Å; angles 154.25, 138.15, 49.79 degrees
Fractional coordinates of all 4 atoms:
Cd 0.000 0.000 0.000
Cd 0.687 0.187 0.500
Fe 0.194 0.694 0.500
Hg 0.387 0.387 0.000

Results
For the calculated formation energy, the calculation gives 26 kJ per mole of atoms. Its space-group type is Imm2 (44).



# HfMg2S4

HfMg2S4 after structural relaxation (PBE, Alexandria via LeMat-Bulk).

Cell lengths 6.354, 6.354, 12.250 Å; angles 90.00, 90.00, 147.67 degrees
Fractional coordinates of all 14 atoms:
Hf 0.123 0.877 0.750
Hf 0.877 0.123 0.250
Mg 0.375 0.625 0.567
Mg 0.375 0.625 0.933
Mg 0.625 0.375 0.067
Mg 0.625 0.375 0.433
S 0.000 0.000 0.000
S 0.000 0.000 0.500
S 0.281 0.719 0.122
S 0.281 0.719 0.378
S 0.472 0.528 0.750
S 0.528 0.472 0.250
S 0.719 0.281 0.622
S 0.719 0.281 0.878

Results
Its space-group type is Cmcm (63). The uncorrected formation energy comes out at -9.78 eV/f.u.



# TbNd2B9

TbNd2B9 after structural relaxation (PBE, Alexandria via LeMat-Bulk).

Cell lengths 10.006, 10.006, 10.006 Å; angles 25.83, 25.83, 25.83 degrees
Fractional coordinates of all 12 atoms:
Tb 0.000 0.000 0.000
Nd 0.117 0.117 0.117
Nd 0.883 0.883 0.883
B 0.032 0.395 0.395
B 0.395 0.032 0.395
B 0.395 0.395 0.032
B 0.397 0.397 0.397
B 0.500 0.500 0.500
B 0.603 0.603 0.603
B 0.605 0.605 0.968
B 0.605 0.968 0.605
B 0.968 0.605 0.605

Results
For the calculated formation energy, the calculation gives -10 kJ per mole of atoms. Its space-group type is R-3m (166).



# RbTlHgBi2

RbTlHgBi2 after structural relaxation (PBE, Alexandria via LeMat-Bulk).

Cell lengths 7.659, 7.659, 7.659 Å; angles 139.69, 138.65, 59.12 degrees
Fractional coordinates of all 5 atoms:
Rb 0.000 0.000 0.000
Tl 0.239 0.739 0.500
Hg 0.613 0.613 0.000
Bi 0.382 0.382 0.000
Bi 0.751 0.251 0.500

Results
For the calculated formation energy, the calculation gives -16 kJ per mole of atoms. Its space-group type is Imm2 (44).



# Li5NiN2

Li5NiN2 after structural relaxation (PBE, Alexandria via LeMat-Bulk).

Cell lengths 3.805, 3.805, 12.888 Å; angles 90.00, 90.00, 120.00 degrees
Fractional coordinates of all 16 atoms:
Li 0.000 0.000 0.130
Li 0.000 0.000 0.370
Li 0.000 0.000 0.630
Li 0.000 0.000 0.870
Li 0.333 0.667 0.045
Li 0.333 0.667 0.250
Li 0.333 0.667 0.455
Li 0.667 0.333 0.545
Li 0.667 0.333 0.750
Li 0.667 0.333 0.955
Ni 0.333 0.667 0.750
Ni 0.667 0.333 0.250
N 0.333 0.667 0.610
N 0.333 0.667 0.890
N 0.667 0.333 0.110
N 0.667 0.333 0.390

Results
Its space-group type is P6_3/mmc (194). The uncorrected formation energy comes out at -2.28 eV/f.u.



How do the records compare in M_tot? In the order shown, they have 0.00, 0.00, 0.99, 2.52, 0.00, 0.00, 0.00, 1.00 μB per formula unit.
How do the records compare in V? In the order shown, they have 121.9, 114.1, 448.5, 83.5, 264.5, 167.4, 190.1, 161.6 Å³/cell.